Below is Na2DyNpO4 after structural relaxation, with properties calculated at the PBE level.

a b c (Å): 5.991 3.465 5.991
angles (deg): 90.00 109.63 90.00
Fractional positions:
1 Na 0.000 0.000 0.000
2 Na 0.000 0.500 0.500
3 Dy 0.500 0.000 0.500
4 Np 0.500 0.500 0.000
5 O 0.284 0.000 0.759
6 O 0.286 0.500 0.266
7 O 0.714 0.500 0.734
8 O 0.716 0.000 0.241

energy relative to the elements, uncorrected = -2.49 eV/atom

Below is LuHfTlHg after structural relaxation, with properties calculated at the PBE level.

a b c (Å): 7.194 7.194 7.194
angles (deg): 90.00 90.00 90.00
Fractional positions:
1 Lu 0.000 0.000 0.000
2 Lu 0.000 0.500 0.500
3 Lu 0.500 0.000 0.500
4 Lu 0.500 0.500 0.000
5 Hf 0.000 0.000 0.500
6 Hf 0.000 0.500 0.000
7 Hf 0.500 0.000 0.000
8 Hf 0.500 0.500 0.500
9 Tl 0.250 0.250 0.750
10 Tl 0.250 0.750 0.250
11 Tl 0.750 0.250 0.250
12 Tl 0.750 0.750 0.750
13 Hg 0.250 0.250 0.250
14 Hg 0.250 0.750 0.750
15 Hg 0.750 0.250 0.750
16 Hg 0.750 0.750 0.250

E_form = -70 meV per atom

Below is Ca2FeRh2 after structural relaxation, with properties calculated at the PBE level.

a b c (Å): 6.632 6.632 4.530
angles (deg): 90.00 90.00 90.00
Fractional positions:
1 Ca 0.176 0.324 0.000
2 Ca 0.324 0.824 0.000
3 Ca 0.676 0.176 0.000
4 Ca 0.824 0.676 0.000
5 Fe 0.000 0.000 0.500
6 Fe 0.500 0.500 0.500
7 Rh 0.138 0.638 0.500
8 Rh 0.362 0.138 0.500
9 Rh 0.638 0.862 0.500
10 Rh 0.862 0.362 0.500

E_form = -162 meV per atom

Below is RbBe3P2 after structural relaxation, with properties calculated at the PBE level.

a b c (Å): 7.344 7.344 8.825
angles (deg): 112.26 112.26 28.82
Fractional positions:
1 Rb 0.129 0.129 0.040
2 Rb 0.871 0.871 0.960
3 Be 0.120 0.120 0.445
4 Be 0.287 0.287 0.594
5 Be 0.411 0.411 0.392
6 Be 0.589 0.589 0.608
7 Be 0.713 0.713 0.406
8 Be 0.880 0.880 0.555
9 P 0.178 0.178 0.708
10 P 0.452 0.452 0.681
11 P 0.548 0.548 0.319
12 P 0.822 0.822 0.292

E_form = -243 meV per atom

| no. | DFT total energy (eV/atom) | volume (Å³ per atom) | theoretical density (Mg/m³) |
| --- | --- | --- | --- |
| 1 | -7.487 | 14.644 | 7.221 |
| 2 | -4.356 | 23.268 | 13.531 |
| 3 | -5.596 | 19.921 | 5.698 |
| 4 | -4.071 | 17.600 | 2.743 |